No. 1
Here is crystalline LaCeGaRh at its relaxed geometry from Alexandria via LeMat-Bulk. Energies are from PBE-GGA.

a = 5.128 Å, b = 5.128 Å, c = 5.128 Å
α = 60.00°, β = 60.00°, γ = 60.00°
Fractional coordinates of all 4 atoms:
1 La 0.000 0.000 0.000
2 Ce 0.500 0.500 0.500
3 Ga 0.750 0.750 0.750
4 Rh 0.250 0.250 0.250

Summary:
For the mass density, the calculation gives 7.9 g cm⁻³. The crystal system is cubic. The distance to the lowest polymorph of the same formula comes out at 135 meV/atom. The space-group type is No. 216. The energy of formation is -2.0 eV per formula unit.



No. 2
Here is crystalline HfCu2Pd8 at its relaxed geometry from Alexandria via LeMat-Bulk. Energies are from PBE-GGA.

a = 6.671 Å, b = 6.671 Å, c = 4.597 Å
α = 101.39°, β = 101.39°, γ = 81.18°
Fractional coordinates of all 11 atoms:
1 Hf 0.000 0.000 0.000
2 Cu 0.159 0.159 0.550
3 Cu 0.841 0.841 0.450
4 Pd 0.157 0.668 0.215
5 Pd 0.265 0.265 0.111
6 Pd 0.332 0.843 0.785
7 Pd 0.422 0.422 0.705
8 Pd 0.578 0.578 0.295
9 Pd 0.668 0.157 0.215
10 Pd 0.735 0.735 0.889
11 Pd 0.843 0.332 0.785

Summary:
For the mass density, the calculation gives 9.8 g cm⁻³. The crystal system is monoclinic. The distance to the lowest polymorph of the same formula comes out at 305 meV/atom. The space-group type is No. 12. The energy of formation is 0.7 eV per formula unit.



Q: Look up the mass density of the first one.
A: 7.9 g cm⁻³



Q: Look up the distance to the lowest polymorph of the same formula of the second one.
A: 305 meV/atom



Q: Number 2 is which compound?
A: HfCu2Pd8